Below is a relaxed structure of TlFeW2, with properties calculated at the PBE level.

Values from the calculation:
Energy of formation from the pure elements in eV/atom: 0.823
Density of states at the Fermi level in states/eV per cell: 3.480
VASP energy in eV/cell: -33.44

Geometry as POSCAR:
```
TlFeW2
1.0
0.000 3.208 3.208
3.208 0.000 3.208
3.208 3.208 0.000
Tl Fe W
1 1 2
Direct
0.000 0.000 0.000
0.250 0.250 0.250
0.500 0.500 0.500
0.750 0.750 0.750
```

Below is a relaxed structure of TlFeW2, with properties calculated at the PBE level.

Values from the calculation:
Energy of formation from the pure elements in eV/atom: 0.795
Density of states at the Fermi level in states/eV per cell: 2.083
VASP energy in eV/cell: -33.55

Geometry as POSCAR:
```
TlFeW2
1.0
2.739 -4.646 0.000
2.739 4.646 0.000
-0.904 0.000 2.637
Tl Fe W
1 1 2
Direct
0.000 0.000 0.000
0.500 0.500 0.000
0.000 0.500 0.500
0.500 0.000 0.500
```

Below is a relaxed structure of TlFeW2, with properties calculated at the PBE level.

Values from the calculation:
Energy of formation from the pure elements in eV/atom: 0.644
Density of states at the Fermi level in states/eV per cell: 1.665
VASP energy in eV/cell: -34.16

Geometry as POSCAR:
```
TlFeW2
1.0
2.827 0.000 0.000
0.000 2.827 0.000
0.000 0.000 8.092
Tl Fe W
1 1 2
Direct
0.000 0.000 0.000
0.000 0.000 0.500
0.500 0.500 0.291
0.500 0.500 0.709
```

Question: The highest energy of formation from the pure elements belongs to which entry?
Answer: number 1